# 1
The following is a PBE-GGA calculation of an optimized crystal structure of Y3AgPd5, from Alexandria.

Cell and atoms, written as POSCAR:
```
Y3AgPd5
1.0
-6.4788 -4.9621 -1.2555
-0.3455 -1.5968 8.0935
-0.0650 7.6393 -2.7073
Pd Y Ag
10 6 2
Cartesian
-4.4264 1.9637 -1.4490
0.0000 0.0000 0.0000
-1.1494 4.6185 -1.7020
-3.8941 1.7053 2.7343
-6.2722 -3.2797 1.6494
-2.9952 -0.6249 1.3964
-3.4121 -3.2794 3.4190
-0.6171 4.3601 2.4814
-2.4629 -0.8833 5.5798
-5.7399 -3.5381 5.8328
-4.1215 -3.3289 0.2561
-2.7028 -3.2300 6.5819
-0.9655 -1.2334 2.8383
-5.1507 -1.0995 3.7749
-5.8588 -5.3255 3.9997
-1.7386 2.1799 0.3559
-1.9113 1.3815 4.4026
-4.9780 -0.3011 -0.2719
```

Values from the calculation:
Formation energy in meV per atom: -463
Calculated density in g/cm³: 7.9

---

# 2
The following is a PBE-GGA calculation of an optimized crystal structure of NiPt2Rh, from Alexandria.

Cell and atoms, written as POSCAR:
```
NiPt2Rh
1.0
2.7210 0.0000 0.0000
-1.3605 5.1136 0.0000
0.0000 0.0000 8.2760
Ni Pt Rh
2 4 2
Cartesian
1.3605 2.6002 6.2070
0.0000 2.5134 2.0690
0.0000 3.7779 8.0992
0.0000 3.7779 4.3148
1.3605 1.3357 0.1768
1.3605 1.3357 3.9612
1.3605 4.8621 2.0690
0.0000 0.2515 6.2070
```

Values from the calculation:
Formation energy in meV per atom: 12
Calculated density in g/cm³: 15.9

---

# 3
The following is a PBE-GGA calculation of an optimized crystal structure of Si2AsAu, from Alexandria.

Cell and atoms, written as POSCAR:
```
Si2AsAu
1.0
-0.1981 -1.1360 2.6106
-0.5151 -2.1601 -1.7927
8.5518 -1.8938 -0.1752
As Si Au
1 2 1
Cartesian
4.0970 -0.9073 -0.0839
0.1130 -0.0250 -0.0023
1.5943 -2.0800 0.3690
6.3103 -3.1244 0.2724
```

Values from the calculation:
E_form (uncorrected) in eV per formula unit: 1.69
Calculated density in g/cm³: 7.9

---

# 4
The following is a PBE-GGA calculation of an optimized crystal structure of La2SiSnPt6, from Alexandria.

Cell and atoms, written as POSCAR:
```
La2SiSnPt6
1.0
-1.4625 -0.3736 5.4159
0.1496 -8.6271 -0.5547
8.4261 -0.0002 2.2754
Pt Sn Si La
12 2 2 4
Cartesian
3.8498 -0.0932 2.4826
3.9066 -4.0949 2.2721
5.5839 -1.0762 4.3520
-0.9449 -8.9063 3.4983
-0.2753 -4.7191 1.0189
-1.0268 -4.9110 3.8019
3.1137 -0.2813 5.2086
1.4104 -1.0761 3.2250
6.4735 -7.7380 1.2144
3.1956 -4.2766 4.9050
2.2209 -7.7379 0.0660
-0.2185 -8.7208 0.8083
4.3205 -6.2007 0.7390
-0.6892 -2.6133 2.5519
0.1142 -6.5853 -0.4234
3.5172 -2.2287 3.7144
1.4565 -6.4913 2.8639
2.1749 -2.3227 0.4271
5.7257 -6.4914 4.0167
6.3317 -2.3228 1.5496
```

Values from the calculation:
E_form (uncorrected) in eV per formula unit: -9.51
Calculated density in g/cm³: 12.5

---

# 5
The following is a PBE-GGA calculation of an optimized crystal structure of ZnReRu, from Alexandria.

Cell and atoms, written as POSCAR:
```
ZnReRu
1.0
-0.7445 0.3368 -4.6428
-2.9213 -2.9734 -2.2020
0.4237 3.1692 3.4642
Zn Ru Re
1 1 1
Cartesian
-2.4456 -1.7589 -4.5664
-1.2434 -0.8943 -2.3217
-3.6426 -2.6198 -6.8015
```

Values from the calculation:
Formation energy in meV per atom: 82
Calculated density in g/cm³: 13.7